Compound: FeAgB2F8
Source: Alexandria
Functional: GGA+U
Structure: optimized geometry

As for the total energy: -5.3482 eV per atom. The value obtained for the calculated density is 2.857 g/cm3.

The structure in POSCAR format:
```
FeAgB2F8
1.0
5.4206 0.0000 0.0000
-2.7103 4.6943 0.0000
0.0000 0.0000 7.7039
F Ag Fe B
8 1 1 2
Cartesian
3.8687 0.8960 1.1075 F
1.1584 3.7984 6.5964 F
1.5519 0.8960 1.1075 F
0.0000 1.7920 6.5964 F
0.0000 3.1296 4.7033 F
2.7103 1.5648 3.0006 F
-1.1584 3.7984 6.5964 F
2.7103 2.9024 1.1075 F
0.0000 0.0000 3.8520 Ag
0.0000 0.0000 0.0000 Fe
0.0000 3.1296 6.0598 B
2.7103 1.5648 1.6441 B
```